Record 1
## Sr3Mn4O12 (meta-GGA SCAN)

Data for a PBEsol-optimized structure of Sr3Mn4O12.

For the energy relative to the elements, uncorrected, the calculation gives -2.31 eV/atom.

The space group is P-3m1 (No. 164) and the conventional cell measures 5.3391, 5.3391 and 8.9646 Å, with angles of 90.00, 90.00 and 120.00 degrees. The distinct sites, in fractional coordinates, are Sr at (0.0000, 0.0000, 0.0000), Sr at (0.3333, 0.6667, 0.7507), Mn at (0.3333, 0.6667, 0.1191), Mn at (0.3333, 0.6667, 0.4017), O at (0.0000, 0.5000, 0.0000), O at (0.0000, 0.5000, 0.5000) and O at (0.1829, 0.3659, 0.2535).

Record 2
## HoSi (meta-GGA SCAN)

Data for a PBEsol-optimized structure of HoSi.

For the energy relative to the elements, uncorrected, the calculation gives -0.86 eV/atom.

The space group is Cmcm (No. 63) and the conventional cell measures 4.204, 10.382 and 3.776 Å, with angles of 90.00, 90.00 and 90.00 degrees. The distinct sites, in fractional coordinates, are Ho at (0.000, 0.141, 0.250) and Si at (0.000, 0.423, 0.250).

Record 3
## Ta2CuTcSb (meta-GGA SCAN)

Data for a PBEsol-optimized structure of Ta2CuTcSb.

For the energy relative to the elements, uncorrected, the calculation gives 1.13 eV/atom.

The space group is P4/mmm (No. 123) and the conventional cell measures 4.564, 4.564 and 4.511 Å, with angles of 90.00, 90.00 and 90.00 degrees. The distinct sites, in fractional coordinates, are Ta at (0.000, 0.500, 0.000), Cu at (0.000, 0.000, 0.000), Tc at (0.000, 0.000, 0.500) and Sb at (0.500, 0.500, 0.500).

Record 4
## ZnSi2Mo (meta-GGA SCAN)

Data for a PBEsol-optimized structure of ZnSi2Mo.

For the energy relative to the elements, uncorrected, the calculation gives 0.12 eV/atom.

The space group is R-3m (No. 166, hexagonal axes) and the conventional cell measures 2.9509, 2.9509 and 23.4307 Å, with angles of 90.00, 90.00 and 120.00 degrees. The distinct sites, in fractional coordinates, are Zn at (0.0000, 0.0000, 0.0000), Si at (0.0000, 0.0000, 0.2465) and Mo at (0.0000, 0.0000, 0.5000).

Record 5
## HfSbAs2Se (meta-GGA SCAN)

Data for a PBEsol-optimized structure of HfSbAs2Se.

For the energy relative to the elements, uncorrected, the calculation gives 0.15 eV/atom.

The space group is P4/mmm (No. 123) and the conventional cell measures 5.133, 5.133 and 4.968 Å, with angles of 90.00, 90.00 and 90.00 degrees. The distinct sites, in fractional coordinates, are Hf at (0.000, 0.000, 0.000), Sb at (0.500, 0.500, 0.500), As at (0.000, 0.500, 0.000) and Se at (0.000, 0.000, 0.500).

Record 6
## Mn2SiMo (meta-GGA SCAN)

Data for a PBEsol-optimized structure of Mn2SiMo.

For the energy relative to the elements, uncorrected, the calculation gives -0.15 eV/atom.

The space group is Imm2 (No. 44) and the conventional cell measures 2.968, 3.899 and 8.151 Å, with angles of 90.00, 90.00 and 90.00 degrees. The distinct sites, in fractional coordinates, are Mn at (0.000, 0.000, 0.000), Mn at (0.000, 0.500, 0.247), Si at (0.000, 0.000, 0.509) and Mo at (0.000, 0.500, 0.750).

Record 7
## La3BeGaS7 (meta-GGA SCAN)

Data for a PBEsol-optimized structure of La3BeGaS7.

For the energy relative to the elements, uncorrected, the calculation gives -1.86 eV/atom.

The space group is P6_3 (No. 173) and the conventional cell measures 10.2029, 10.2029 and 6.0300 Å, with angles of 90.00, 90.00 and 120.00 degrees. The distinct sites, in fractional coordinates, are La at (0.1381, 0.7470, 0.0000), Be at (0.3333, 0.6667, 0.5860), Ga at (0.0000, 0.0000, 0.2363), S at (0.0781, 0.8554, 0.4700), S at (0.1134, 0.5196, 0.7166) and S at (0.3333, 0.6667, 0.2352).

Record 8
## CrCdRu3 (meta-GGA SCAN)

Data for a PBEsol-optimized structure of CrCdRu3.

The calculated formation energy is 1.0971 eV/atom.

The space group is Pm-3m (No. 221) and the conventional cell measures 4.369, 4.369 and 4.369 Å, with angles of 90.00, 90.00 and 90.00 degrees. The distinct sites, in fractional coordinates, are Cr at (0.000, 0.000, 0.000), Cd at (0.500, 0.500, 0.500) and Ru at (0.000, 0.000, 0.500).

Record 9
## NaHfTe2Br (meta-GGA SCAN)

Data for a PBEsol-optimized structure of NaHfTe2Br.

For the energy relative to the elements, uncorrected, the calculation gives 0.86 eV/atom.

The space group is P4/mmm (No. 123) and the conventional cell measures 5.149, 5.149 and 5.578 Å, with angles of 90.00, 90.00 and 90.00 degrees. The distinct sites, in fractional coordinates, are Na at (0.000, 0.000, 0.000), Hf at (0.000, 0.000, 0.500), Te at (0.000, 0.500, 0.000) and Br at (0.500, 0.500, 0.500).

Record 10
## ZrTl2ZnHg (meta-GGA SCAN)

Data for a PBEsol-optimized structure of ZrTl2ZnHg.

The calculated formation energy is 0.5721 eV/atom.

The space group is P4/mmm (No. 123) and the conventional cell measures 5.069, 5.069 and 4.820 Å, with angles of 90.00, 90.00 and 90.00 degrees. The distinct sites, in fractional coordinates, are Zr at (0.000, 0.000, 0.000), Tl at (0.000, 0.500, 0.500), Zn at (0.500, 0.500, 0.500) and Hg at (0.500, 0.500, 0.000).

Record 11
## ReBC2F (meta-GGA SCAN)

Data for a PBEsol-optimized structure of ReBC2F.

For the energy relative to the elements, uncorrected, the calculation gives 2.50 eV/atom.

The space group is P4/mmm (No. 123) and the conventional cell measures 3.866, 3.866 and 2.902 Å, with angles of 90.00, 90.00 and 90.00 degrees. The distinct sites, in fractional coordinates, are Re at (0.000, 0.000, 0.000), B at (0.500, 0.500, 0.000), C at (0.000, 0.500, 0.500) and F at (0.500, 0.500, 0.500).

Record 12
## KSc2Se (meta-GGA SCAN)

Data for a PBEsol-optimized structure of KSc2Se.

For the energy relative to the elements, uncorrected, the calculation gives -0.06 eV/atom.

The space group is I4/mmm (No. 139) and the conventional cell measures 4.350, 4.350 and 10.558 Å, with angles of 90.00, 90.00 and 90.00 degrees. The distinct sites, in fractional coordinates, are K at (0.000, 0.000, 0.000), Sc at (0.000, 0.500, 0.250) and Se at (0.000, 0.000, 0.500).